The following is a DFT calculation (GGA-PBEsol) of CuAs3Pd after structural relaxation.

Computed properties:
crystal system	cubic
total energy	-21.279	eV/cell

Cell and atoms, written as CIF:
```
data_CuAs3Pd
_cell_length_a 4.7886
_cell_length_b 4.7886
_cell_length_c 4.7886
_cell_angle_alpha 90.00
_cell_angle_beta 90.00
_cell_angle_gamma 90.00
_symmetry_space_group_name_H-M 'P m -3 m'
_symmetry_Int_Tables_number 221
_symmetry_space_group_name_Hall '-P 4 2 3'
loop_
_atom_site_label
_atom_site_type_symbol
_atom_site_fract_x
_atom_site_fract_y
_atom_site_fract_z
Cu1 Cu 0.0000 0.0000 0.0000
As1 As 0.0000 0.5000 0.5000
Pd1 Pd 0.5000 0.5000 0.5000
```

=====

The following is a DFT calculation (GGA-PBEsol) of BaSr2Be after structural relaxation.

Computed properties:
crystal system	monoclinic
total energy	-14.927	eV/cell

Cell and atoms, written as CIF:
```
data_BaSr2Be
_cell_length_a 7.3038
_cell_length_b 12.2504
_cell_length_c 3.9636
_cell_angle_alpha 90.00
_cell_angle_beta 117.45
_cell_angle_gamma 90.00
_symmetry_space_group_name_H-M 'C 1 2/m 1'
_symmetry_Int_Tables_number 12
_symmetry_space_group_name_Hall '-C 2y'
loop_
_atom_site_label
_atom_site_type_symbol
_atom_site_fract_x
_atom_site_fract_y
_atom_site_fract_z
Ba1 Ba 0.0000 0.0000 0.0000
Sr1 Sr 0.2500 0.2500 0.5000
Be1 Be 0.0000 0.5000 0.0000
```

=====

The following is a DFT calculation (GGA-PBEsol) of GdMnGe2O7 after structural relaxation.

Computed properties:
crystal system	orthorhombic
energy relative to the elements, uncorrected	-2.127	eV per atom

Cell and atoms, written as CIF:
```
data_GdMnGe2O7
_cell_length_a 7.8249
_cell_length_b 13.4045
_cell_length_c 4.7572
_cell_angle_alpha 90.00
_cell_angle_beta 90.00
_cell_angle_gamma 90.00
_symmetry_space_group_name_H-M 'C m m e'
_symmetry_Int_Tables_number 67
_symmetry_space_group_name_Hall '-C 2a 2'
loop_
_atom_site_label
_atom_site_type_symbol
_atom_site_fract_x
_atom_site_fract_y
_atom_site_fract_z
Gd1 Gd 0.2500 0.0000 0.0000
Mn1 Mn 0.2500 0.2500 0.0000
Ge1 Ge 0.0000 0.1357 0.4806
O1 O 0.0000 0.0440 0.7406
O2 O 0.0000 0.2500 0.6882
O3 O 0.1746 0.1459 0.2414
```

=====

The following is a DFT calculation (GGA-PBEsol) of Nd3Tl after structural relaxation.

Computed properties:
crystal system	cubic
total energy	-19.189	eV/cell

Cell and atoms, written as CIF:
```
data_Nd3Tl
_cell_length_a 4.8865
_cell_length_b 4.8865
_cell_length_c 4.8865
_cell_angle_alpha 90.00
_cell_angle_beta 90.00
_cell_angle_gamma 90.00
_symmetry_space_group_name_H-M 'P m -3 m'
_symmetry_Int_Tables_number 221
_symmetry_space_group_name_Hall '-P 4 2 3'
loop_
_atom_site_label
_atom_site_type_symbol
_atom_site_fract_x
_atom_site_fract_y
_atom_site_fract_z
Nd1 Nd 0.0000 0.0000 0.5000
Tl1 Tl 0.5000 0.5000 0.5000
```

=====

Q: Which formula does entry 4 have?
A: Nd3Tl

=====

Q: Which formula does entry 1 have?
A: CuAs3Pd

=====

Q: What is the formula in the fourth record?
A: Nd3Tl